Computed, not measured: a geometry-optimized ErTm2Tl3CuNi2 structure at the GGA-PBE level of DFT.

Computed properties:
Its total energy is -38.373 eV for the cell shown. Its space group is Amm2 (38).

Cell and atoms, written as POSCAR:
```
ErTm2Tl3CuNi2
1.0
3.746 0.000 0.000
0.000 6.507 3.755
0.000 -6.507 3.755
Tl Tm Ni Er Cu
3 2 2 1 1
Cartesian
1.873 4.775 4.752 Tl
1.873 -4.775 4.752 Tl
1.873 0.000 5.516 Tl
0.000 3.839 2.216 Tm
0.000 -3.839 2.216 Tm
1.873 2.174 3.756 Ni
1.873 -2.174 3.756 Ni
0.000 0.000 3.080 Er
0.000 0.000 7.509 Cu
```

---

Computed, not measured: a geometry-optimized Cs3ZrBr6 structure at the GGA-PBE level of DFT.

Computed properties:
Its total energy is -36.790 eV for the cell shown. Its space group is Fm-3m (225).

Cell and atoms, written as POSCAR:
```
Cs3ZrBr6
1.0
-5.767 1.584 6.149
-7.739 -3.683 -0.327
-2.070 -6.137 5.623
Cs Br Zr
3 6 1
Cartesian
-7.788 -4.118 5.722 Cs
-11.682 -6.177 8.583 Cs
-3.894 -2.059 2.861 Cs
-10.958 -2.998 5.777 Br
-6.667 -0.956 5.959 Br
-7.815 -4.359 9.076 Br
-7.761 -3.877 2.368 Br
-8.909 -7.280 5.486 Br
-4.617 -5.238 5.667 Br
0.000 0.000 0.000 Zr
```

---

Computed, not measured: a geometry-optimized BiIr15 structure at the GGA-PBE level of DFT.

Computed properties:
Its total energy is -270.983 eV for the cell shown. Its space group is Pmma (51).

Cell and atoms, written as POSCAR:
```
BiIr15
1.0
-3.860 -0.089 -0.278
-0.217 -1.615 3.511
-2.267 40.471 18.476
Ir Bi
30 2
Cartesian
-4.374 26.335 11.844 Ir
-4.177 22.816 10.238 Ir
-3.401 6.227 4.788 Ir
-2.158 18.526 10.522 Ir
-2.738 31.632 14.381 Ir
-3.791 13.194 7.969 Ir
-1.567 7.989 5.712 Ir
-3.593 9.660 6.356 Ir
-2.943 32.541 16.921 Ir
-2.345 24.619 11.179 Ir
-1.762 11.473 7.302 Ir
-3.989 16.720 9.579 Ir
-3.584 12.236 5.407 Ir
-4.186 20.242 11.187 Ir
-3.389 8.751 3.817 Ir
-1.950 17.566 7.960 Ir
-3.782 15.764 7.018 Ir
-1.753 14.048 6.354 Ir
-1.960 15.001 8.913 Ir
-2.148 21.096 9.571 Ir
-3.979 19.287 8.626 Ir
-1.555 10.504 4.736 Ir
-2.552 25.574 13.740 Ir
-4.581 27.295 14.407 Ir
-2.750 29.108 15.353 Ir
-2.355 22.048 12.130 Ir
-4.776 30.779 15.997 Ir
-4.572 29.878 13.462 Ir
-4.384 23.767 12.796 Ir
-2.543 28.147 12.790 Ir
-1.320 6.310 2.821 Bi
-4.807 34.073 15.377 Bi
```

---

Computed, not measured: a geometry-optimized DyPaPO structure at the GGA-PBE level of DFT.

Computed properties:
Its total energy is -59.918 eV for the cell shown. Its space group is Pmma (51).

Cell and atoms, written as POSCAR:
```
DyPaPO
1.0
-1.644 2.925 -2.410
1.872 -4.211 -6.387
-4.845 -2.523 0.243
Pa O P Dy
2 2 2 2
Cartesian
-4.668 -2.482 -3.368 Pa
-1.775 -2.279 -5.095 Pa
-2.330 -1.027 -3.197 O
-4.111 -3.733 -5.266 O
-0.520 -4.715 -5.366 P
-4.279 -2.971 -0.686 P
-3.064 -5.704 -4.832 Dy
-1.736 -1.981 -1.220 Dy
```

---

Computed, not measured: a geometry-optimized SmYZnNi2 structure at the GGA-PBE level of DFT.

Computed properties:
Its space group is Imm2 (44). The formation energy comes out at -0.43 eV per atom.

Cell and atoms, written as POSCAR:
```
SmYZnNi2
1.0
-2.130 2.701 4.079
2.130 -2.701 4.079
2.130 2.701 -4.079
Ni Y Zn Sm
2 1 1 1
Cartesian
0.000 1.241 4.082 Ni
2.130 1.460 0.003 Ni
0.000 2.701 1.655 Y
0.000 0.000 0.000 Zn
2.130 0.000 2.417 Sm
```

---

Computed, not measured: a geometry-optimized Tm2Os2O5 structure at the GGA-PBE level of DFT.

Computed properties:
Its total energy is -70.478 eV for the cell shown. Its space group is P4/mmm (123).

Cell and atoms, written as POSCAR:
```
Tm2Os2O5
1.0
-6.730 0.157 -1.434
-0.360 -3.673 1.287
-0.736 1.333 3.600
Os O Tm
2 5 2
Cartesian
-1.798 -1.141 2.177 Os
-6.028 -1.042 1.276 Os
-5.243 -1.719 -0.436 O
-3.913 -1.092 1.726 O
-1.847 -1.798 0.288 O
-2.035 0.705 1.445 O
-5.431 0.785 0.721 O
0.000 0.000 0.000 Tm
-3.365 0.079 -0.717 Tm
```

---

Computed, not measured: a geometry-optimized SmScZnNi2 structure at the GGA-PBE level of DFT.

Computed properties:
Its space group is Imm2 (44). The formation energy comes out at -0.43 eV per atom.

Cell and atoms, written as POSCAR:
```
SmScZnNi2
1.0
0.571 -4.242 2.917
3.730 1.730 3.150
-4.789 1.719 -0.971
Sc Sm Zn Ni
1 1 1 2
Cartesian
-1.230 -1.775 2.212 Sc
0.748 0.978 2.891 Sm
4.300 -2.512 6.065 Zn
-1.667 1.047 1.609 Ni
1.174 -1.837 3.479 Ni
```

---

Computed, not measured: a geometry-optimized YCoNiB structure at the GGA-PBE level of DFT.

Computed properties:
Its total energy is -24.452 eV for the cell shown. Its space group is F-43m (216).

Cell and atoms, written as POSCAR:
```
YCoNiB
1.0
3.650 -1.535 1.384
2.181 2.083 2.915
0.290 -1.530 3.895
Co B Ni Y
1 1 1 1
Cartesian
4.591 -0.736 6.145 Co
0.000 0.000 0.000 B
1.530 -0.245 2.048 Ni
3.061 -0.491 4.097 Y
```